First-principles (PBE) data for an optimized crystal structure of Li2AcNi9, as listed in Alexandria via LeMat-Bulk.

Results
Volume   13.5 Å³/atom
DFT formation energy   -104 meV/atom
DOS(E_F)   31.1 states/eV per cell

Lattice parameters (Å, degrees): 8.219 8.219 4.807 90.00 90.00 90.00
Space group P4/mbm (No. 127)
Inequivalent atoms, fractional coordinates:
1 Li 0.112 0.388 0.000
2 Ac 0.000 0.000 0.000
3 Ni 0.000 0.500 0.500
4 Ni 0.065 0.216 0.500
5 Ni 0.179 0.679 0.247